1.
# BeSbP2 | Alexandria | SCAN | single point on PBEsol structure
# Raw formation energy (eV per atom): 0.84
data_BeSbP2
_cell_length_a 4.4685
_cell_length_b 4.4685
_cell_length_c 3.2720
_cell_angle_alpha 90.00
_cell_angle_beta 90.00
_cell_angle_gamma 90.00
_symmetry_space_group_name_H-M 'P 4/m m m'
_symmetry_Int_Tables_number 123
_symmetry_space_group_name_Hall '-P 4 2'
loop_
_atom_site_label
_atom_site_fract_x
_atom_site_fract_y
_atom_site_fract_z
Be1 0.0000 0.0000 0.0000
Sb1 0.5000 0.5000 0.0000
P1 0.0000 0.5000 0.5000



2.
# BeSb2P | Alexandria | SCAN | single point on PBEsol structure
# Raw formation energy (eV per atom): 0.33
# Polymorph energy (0 for the lowest one) (meV/atom): 0
data_BeSb2P
_cell_length_a 3.7770
_cell_length_b 3.7770
_cell_length_c 18.9360
_cell_angle_alpha 90.00
_cell_angle_beta 90.00
_cell_angle_gamma 120.00
_symmetry_space_group_name_H-M 'R -3 m'
_symmetry_Int_Tables_number 166
_symmetry_space_group_name_Hall '-R 3 2"'
loop_
_atom_site_label
_atom_site_fract_x
_atom_site_fract_y
_atom_site_fract_z
Be1 0.0000 0.0000 0.0000
Sb1 0.0000 0.0000 0.2569
P1 0.0000 0.0000 0.5000



3.
# BeSb2P | Alexandria | SCAN | single point on PBEsol structure
# Raw formation energy (eV per atom): 0.37
# Polymorph energy (0 for the lowest one) (meV/atom): 35
data_BeSb2P
_cell_length_a 4.9186
_cell_length_b 5.3272
_cell_length_c 6.1355
_cell_angle_alpha 90.00
_cell_angle_beta 90.00
_cell_angle_gamma 90.00
_symmetry_space_group_name_H-M 'A m m 2'
_symmetry_Int_Tables_number 38
loop_
_symmetry_equiv_pos_as_xyz
'x,y,z'
'-x,-y,z'
'-x,y,z'
'x,-y,z'
'x,y+1/2,z+1/2'
'-x,-y+1/2,z+1/2'
'-x,y+1/2,z+1/2'
'x,-y+1/2,z+1/2'
loop_
_atom_site_label
_atom_site_fract_x
_atom_site_fract_y
_atom_site_fract_z
Be1 0.0000 0.0000 0.0000
Sb1 0.0000 0.0000 0.5752
Sb2 0.5000 0.0000 0.1834
P1 0.5000 0.0000 0.7562



4.
# BeSb2P | Alexandria | SCAN | single point on PBEsol structure
# Raw formation energy (eV per atom): 0.70
# Polymorph energy (0 for the lowest one) (meV/atom): 367
data_BeSb2P
_cell_length_a 3.7061
_cell_length_b 3.9409
_cell_length_c 5.4419
_cell_angle_alpha 90.00
_cell_angle_beta 90.00
_cell_angle_gamma 90.00
_symmetry_space_group_name_H-M 'P m m m'
_symmetry_Int_Tables_number 47
loop_
_symmetry_equiv_pos_as_xyz
'x,y,z'
'-x,-y,-z'
'-x,-y,z'
'x,y,-z'
'x,-y,-z'
'-x,y,z'
'-x,y,-z'
'x,-y,z'
loop_
_atom_site_label
_atom_site_fract_x
_atom_site_fract_y
_atom_site_fract_z
Be1 0.0000 0.0000 0.0000
Sb1 0.5000 0.0000 0.5000
Sb2 0.5000 0.5000 0.0000
P1 0.0000 0.5000 0.5000



5.
# ScBe2P | Alexandria | SCAN | single point on PBEsol structure
# Formation enthalpy at 0 K (eV per atom): -0.155
data_ScBe2P
_cell_length_a 2.7560
_cell_length_b 3.2635
_cell_length_c 5.6170
_cell_angle_alpha 90.00
_cell_angle_beta 90.00
_cell_angle_gamma 90.00
_symmetry_space_group_name_H-M 'P m m 2'
_symmetry_Int_Tables_number 25
loop_
_symmetry_equiv_pos_as_xyz
'x,y,z'
'-x,-y,z'
'-x,y,z'
'x,-y,z'
loop_
_atom_site_label
_atom_site_fract_x
_atom_site_fract_y
_atom_site_fract_z
Sc1 0.0000 0.0000 0.0000
Be1 0.0000 0.0000 0.4939
Be2 0.5000 0.5000 0.3272
P1 0.5000 0.5000 0.7078



6.
# ScBeP3 | Alexandria | SCAN | single point on PBEsol structure
# Formation enthalpy at 0 K (eV per atom): 0.976
data_ScBeP3
_cell_length_a 4.8023
_cell_length_b 4.8023
_cell_length_c 4.8023
_cell_angle_alpha 90.00
_cell_angle_beta 90.00
_cell_angle_gamma 90.00
_symmetry_space_group_name_H-M 'P m -3 m'
_symmetry_Int_Tables_number 221
_symmetry_space_group_name_Hall '-P 4 2 3'
loop_
_atom_site_label
_atom_site_fract_x
_atom_site_fract_y
_atom_site_fract_z
Sc1 0.0000 0.0000 0.0000
Be1 0.5000 0.5000 0.5000
P1 0.0000 0.0000 0.5000



How do the records compare in V? In the order shown, they have 65.33; 233.94; 160.76; 79.48; 50.52; 110.75 Å³ per cell.
How do the records compare in size of the total moment? In the order shown, they have 0.000; 0.000; 0.000; 0.000; 0.000; 0.000 μB per atom.